{"formula": "K2ScCd", "functional": "GGA-PBE", "state": "relaxed", "cell": [[3.459, -6.060, 0.000], [3.459, 6.060, 0.000], [0.000, 0.000, 3.555]], "species": ["K", "K", "Sc", "Cd"], "frac_coords": [[0.000, 0.500, 0.000], [0.500, 0.000, 0.000], [0.000, 0.000, 0.500], [0.500, 0.500, 0.500]], "formation_enthalpy_0k_ev_per_fu": 1.80, "spacegroup": "No. 65", "vol_a3_per_atom": 37.3, "n_ef_per_ev_cell": 4.4}

***

{"formula": "HoTm2Sn9", "functional": "GGA-PBE", "state": "relaxed", "cell": [[4.781, 0.000, 0.000], [0.000, 4.781, 0.000], [0.000, 0.000, 13.615]], "species": ["Ho", "Tm", "Tm", "Sn", "Sn", "Sn", "Sn", "Sn", "Sn", "Sn", "Sn", "Sn"], "frac_coords": [[0.000, 0.000, 0.000], [0.000, 0.000, 0.333], [0.000, 0.000, 0.667], [0.000, 0.500, 0.168], [0.000, 0.500, 0.500], [0.000, 0.500, 0.832], [0.500, 0.000, 0.168], [0.500, 0.000, 0.500], [0.500, 0.000, 0.832], [0.500, 0.500, 0.000], [0.500, 0.500, 0.334], [0.500, 0.500, 0.666]], "formation_enthalpy_0k_ev_per_fu": -4.57, "spacegroup": "No. 123", "vol_a3_per_atom": 25.9, "n_ef_per_ev_cell": 4.8}

***

{"formula": "LiScMo2", "functional": "GGA-PBE", "state": "relaxed", "cell": [[-1.883, 1.883, 4.689], [1.883, -1.883, 4.689], [1.883, 1.883, -4.689]], "species": ["Li", "Sc", "Mo", "Mo"], "frac_coords": [[0.000, 0.000, 0.000], [0.500, 0.500, 0.000], [0.250, 0.750, 0.500], [0.750, 0.250, 0.500]], "formation_enthalpy_0k_ev_per_fu": 1.15, "polymorph_energy_mev_per_atom": 105, "spacegroup": "No. 139", "vol_a3_per_atom": 16.6, "n_ef_per_ev_cell": 2.8}

***

{"formula": "Li2IrW", "functional": "GGA-PBE", "state": "relaxed", "cell": [[1.415, -2.220, 0.000], [1.415, 2.220, 0.000], [0.000, 0.000, 9.403]], "species": ["Li", "Li", "Ir", "W"], "frac_coords": [[0.000, 0.000, 0.232], [0.000, 0.000, 0.768], [0.500, 0.500, 0.000], [0.500, 0.500, 0.500]], "formation_enthalpy_0k_ev_per_fu": 0.67, "spacegroup": "No. 65", "vol_a3_per_atom": 14.8, "n_ef_per_ev_cell": 3.4}

***

{"formula": "KIO", "functional": "GGA-PBE", "state": "relaxed", "cell": [[4.844, 0.000, 0.000], [2.360, 4.235, 0.000], [1.177, 0.571, 9.536]], "species": ["K", "K", "I", "I", "O", "O"], "frac_coords": [[0.191, 0.186, 0.368], [0.809, 0.814, 0.632], [0.113, 0.127, 0.852], [0.887, 0.873, 0.148], [0.141, 0.148, 0.643], [0.859, 0.852, 0.357]], "polymorph_energy_mev_per_atom": 64, "raw_formation_energy_kj_per_mol_atoms": -84.70, "spacegroup": "No. 2", "vol_a3_per_atom": 32.6}

***

{"formula": "YSi2Br", "functional": "GGA-PBE", "state": "relaxed", "cell": [[-1.882, 2.712, 4.274], [1.882, -2.712, 4.274], [1.882, 2.712, -4.274]], "species": ["Y", "Si", "Si", "Br"], "frac_coords": [[0.000, 0.000, 0.000], [0.270, 0.770, 0.500], [0.427, 0.427, 0.000], [0.713, 0.213, 0.500]], "polymorph_energy_mev_per_atom": 357, "raw_formation_energy_kj_per_mol_atoms": -34.92, "spacegroup": "No. 44", "vol_a3_per_atom": 21.8, "n_ef_per_ev_cell": 1.6}

***

{"formula": "YTe2NO", "functional": "GGA-PBE", "state": "relaxed", "cell": [[5.999, 0.000, 0.000], [0.000, 5.999, 0.000], [0.000, 0.000, 4.368]], "species": ["Y", "Te", "Te", "N", "O"], "frac_coords": [[0.000, 0.000, 0.000], [0.000, 0.500, 0.000], [0.500, 0.000, 0.000], [0.000, 0.000, 0.500], [0.500, 0.500, 0.500]], "polymorph_energy_mev_per_atom": 578, "raw_formation_energy_kj_per_mol_atoms": 79.71, "spacegroup": "No. 123", "vol_a3_per_atom": 31.4, "n_ef_per_ev_cell": 8.5}

***

{"formula": "AcMgBi2", "functional": "GGA-PBE", "state": "relaxed", "cell": [[0.000, 4.011, 4.011], [4.011, 0.000, 4.011], [4.011, 4.011, 0.000]], "species": ["Ac", "Mg", "Bi", "Bi"], "frac_coords": [[0.000, 0.000, 0.000], [0.500, 0.500, 0.500], [0.250, 0.250, 0.250], [0.750, 0.750, 0.750]], "formation_enthalpy_0k_ev_per_fu": -1.52, "polymorph_energy_mev_per_atom": 198, "spacegroup": "No. 225", "vol_a3_per_atom": 32.3, "n_ef_per_ev_cell": 3.4}

***

{"formula": "Nd2TeO", "functional": "GGA-PBE", "state": "relaxed", "cell": [[8.502, 0.000, 0.000], [0.000, 6.536, 0.000], [-1.274, 0.000, 7.517]], "species": ["Nd", "Nd", "Nd", "Nd", "Nd", "Nd", "Nd", "Nd", "Te", "Te", "Te", "Te", "O", "O", "O", "O"], "frac_coords": [[0.067, 0.148, 0.308], [0.067, 0.352, 0.808], [0.310, 0.664, 0.523], [0.310, 0.836, 0.023], [0.690, 0.164, 0.977], [0.690, 0.336, 0.477], [0.933, 0.648, 0.192], [0.933, 0.852, 0.692], [0.360, 0.149, 0.664], [0.360, 0.351, 0.164], [0.640, 0.649, 0.836], [0.640, 0.851, 0.336], [0.176, 0.685, 0.765], [0.176, 0.815, 0.265], [0.824, 0.185, 0.735], [0.824, 0.315, 0.235]], "polymorph_energy_mev_per_atom": 0, "raw_formation_energy_kj_per_mol_atoms": -195.11, "spacegroup": "No. 14", "vol_a3_per_atom": 26.1, "n_ef_per_ev_cell": 7.6}

***

{"formula": "Bi4Au3", "functional": "GGA-PBE", "state": "relaxed", "cell": [[3.654, -2.223, 0.000], [3.654, 2.223, 0.000], [-2.995, 0.000, 11.954]], "species": ["Bi", "Bi", "Bi", "Bi", "Au", "Au", "Au"], "frac_coords": [[0.059, 0.059, 0.172], [0.211, 0.211, 0.623], [0.789, 0.789, 0.377], [0.941, 0.941, 0.828], [0.352, 0.352, 0.054], [0.500, 0.500, 0.500], [0.648, 0.648, 0.946]], "formation_enthalpy_0k_ev_per_fu": -0.04, "spacegroup": "No. 12", "vol_a3_per_atom": 27.7, "n_ef_per_ev_cell": 3.5}

***

{"formula": "AcZn6", "functional": "GGA-PBE", "state": "relaxed", "cell": [[-3.413, 3.413, 3.413], [3.413, -3.413, 3.413], [3.413, 3.413, -3.413]], "species": ["Ac", "Zn", "Zn", "Zn", "Zn", "Zn", "Zn"], "frac_coords": [[0.000, 0.000, 0.000], [0.250, 0.500, 0.750], [0.250, 0.750, 0.500], [0.500, 0.250, 0.750], [0.500, 0.750, 0.250], [0.750, 0.250, 0.500], [0.750, 0.500, 0.250]], "formation_enthalpy_0k_ev_per_fu": 0.37, "polymorph_energy_mev_per_atom": 0, "spacegroup": "No. 229", "vol_a3_per_atom": 22.7, "n_ef_per_ev_cell": 2.6}

***

{"formula": "YHfAu", "functional": "GGA-PBE", "state": "relaxed", "cell": [[3.464, 0.000, 0.000], [0.000, 5.062, 0.000], [-1.723, 0.000, 7.990]], "species": ["Y", "Y", "Hf", "Hf", "Au", "Au"], "frac_coords": [[0.083, 0.250, 0.164], [0.917, 0.750, 0.836], [0.232, 0.750, 0.464], [0.768, 0.250, 0.536], [0.406, 0.250, 0.814], [0.594, 0.750, 0.186]], "formation_enthalpy_0k_ev_per_fu": -1.43, "polymorph_energy_mev_per_atom": 0, "spacegroup": "No. 11", "vol_a3_per_atom": 23.4, "n_ef_per_ev_cell": 5.3}

***

{"formula": "Ac3EuOs", "functional": "GGA-PBE", "state": "relaxed", "cell": [[5.945, 0.000, 0.000], [0.000, 5.945, 0.000], [0.000, 0.000, 5.945]], "species": ["Ac", "Ac", "Ac", "Eu", "Os"], "frac_coords": [[0.000, 0.000, 0.500], [0.000, 0.500, 0.000], [0.500, 0.000, 0.000], [0.500, 0.500, 0.500], [0.000, 0.000, 0.000]], "formation_enthalpy_0k_ev_per_fu": -0.06, "spacegroup": "No. 221", "vol_a3_per_atom": 42.0, "n_ef_per_ev_cell": 2.8}

***

{"formula": "Tb3ErPd", "functional": "GGA-PBE", "state": "relaxed", "cell": [[5.768, -4.243, 0.000], [5.768, 4.243, 0.000], [-4.949, 0.000, 6.177]], "species": ["Tb", "Tb", "Tb", "Tb", "Tb", "Tb", "Er", "Er", "Pd", "Pd"], "frac_coords": [[0.040, 0.040, 0.314], [0.094, 0.491, 0.262], [0.491, 0.094, 0.262], [0.509, 0.906, 0.738], [0.906, 0.509, 0.738], [0.960, 0.960, 0.686], [0.428, 0.428, 0.730], [0.572, 0.572, 0.270], [0.271, 0.271, 0.916], [0.729, 0.729, 0.084]], "formation_enthalpy_0k_ev_per_fu": -1.31, "polymorph_energy_mev_per_atom": 96, "spacegroup": "No. 12", "vol_a3_per_atom": 30.2, "n_ef_per_ev_cell": 15.5}

***

{"formula": "ScCd3As", "functional": "GGA-PBE", "state": "relaxed", "cell": [[5.204, 0.000, 0.000], [0.000, 5.204, 0.000], [0.000, 0.000, 5.204]], "species": ["Sc", "Cd", "Cd", "Cd", "As"], "frac_coords": [[0.000, 0.000, 0.000], [0.000, 0.500, 0.500], [0.500, 0.000, 0.500], [0.500, 0.500, 0.000], [0.500, 0.500, 0.500]], "formation_enthalpy_0k_ev_per_fu": 2.31, "polymorph_energy_mev_per_atom": 0, "spacegroup": "No. 221", "vol_a3_per_atom": 28.2, "n_ef_per_ev_cell": 5.5}

***

{"formula": "LiPu2PN5", "functional": "GGA-PBE", "state": "relaxed", "cell": [[1.554, -6.658, 0.000], [1.554, 6.658, 0.000], [0.000, 0.000, 9.760]], "species": ["Li", "Li", "Pu", "Pu", "Pu", "Pu", "P", "P", "N", "N", "N", "N", "N", "N", "N", "N", "N", "N"], "frac_coords": [[0.203, 0.797, 0.500], [0.797, 0.203, 0.000], [0.123, 0.877, 0.149], [0.149, 0.851, 0.797], [0.851, 0.149, 0.297], [0.877, 0.123, 0.649], [0.441, 0.559, 0.907], [0.559, 0.441, 0.407], [0.037, 0.963, 0.496], [0.289, 0.711, 0.165], [0.327, 0.673, 0.847], [0.354, 0.646, 0.488], [0.491, 0.509, 0.267], [0.509, 0.491, 0.767], [0.646, 0.354, 0.988], [0.673, 0.327, 0.347], [0.711, 0.289, 0.665], [0.963, 0.037, 0.996]], "raw_formation_energy_kj_per_mol_atoms": -65.99, "spacegroup": "No. 36", "vol_a3_per_atom": 11.2, "n_ef_per_ev_cell": 20.5}

***

{"formula": "NbSn2Pd", "functional": "GGA-PBE", "state": "relaxed", "cell": [[-3.719, 3.719, 3.081], [3.719, -3.719, 3.081], [3.719, 3.719, -3.081]], "species": ["Nb", "Nb", "Sn", "Sn", "Sn", "Sn", "Pd", "Pd"], "frac_coords": [[0.000, 0.000, 0.000], [0.750, 0.250, 0.500], [0.150, 0.125, 0.525], [0.375, 0.850, 0.975], [0.600, 0.625, 0.475], [0.875, 0.400, 0.025], [0.250, 0.750, 0.500], [0.500, 0.500, 0.000]], "formation_enthalpy_0k_ev_per_fu": 0.49, "polymorph_energy_mev_per_atom": 332, "spacegroup": "No. 122", "vol_a3_per_atom": 21.3, "n_ef_per_ev_cell": 8.2}

***

{"formula": "NaCdB3", "functional": "GGA-PBE", "state": "relaxed", "cell": [[4.505, 0.000, 0.000], [0.000, 4.505, 0.000], [0.000, 0.000, 4.505]], "species": ["Na", "Cd", "B", "B", "B"], "frac_coords": [[0.000, 0.000, 0.000], [0.500, 0.500, 0.500], [0.000, 0.500, 0.500], [0.500, 0.000, 0.500], [0.500, 0.500, 0.000]], "formation_enthalpy_0k_ev_per_fu": 10.29, "polymorph_energy_mev_per_atom": 0, "spacegroup": "No. 221", "vol_a3_per_atom": 18.3, "n_ef_per_ev_cell": 3.2}

***

{"formula": "SmPd12Pb3", "functional": "GGA-PBE", "state": "relaxed", "cell": [[4.132, 0.000, 0.000], [0.000, 4.132, 0.000], [0.000, 0.000, 16.463]], "species": ["Sm", "Pd", "Pd", "Pd", "Pd", "Pd", "Pd", "Pd", "Pd", "Pd", "Pd", "Pd", "Pd", "Pb", "Pb", "Pb"], "frac_coords": [[0.000, 0.000, 0.000], [0.000, 0.500, 0.128], [0.000, 0.500, 0.376], [0.000, 0.500, 0.624], [0.000, 0.500, 0.872], [0.500, 0.000, 0.128], [0.500, 0.000, 0.376], [0.500, 0.000, 0.624], [0.500, 0.000, 0.872], [0.500, 0.500, 0.000], [0.500, 0.500, 0.253], [0.500, 0.500, 0.500], [0.500, 0.500, 0.747], [0.000, 0.000, 0.252], [0.000, 0.000, 0.500], [0.000, 0.000, 0.748]], "formation_enthalpy_0k_ev_per_fu": -6.70, "spacegroup": "No. 123", "vol_a3_per_atom": 17.6, "n_ef_per_ev_cell": 3.5}

***

{"formula": "Er4CoPb", "functional": "GGA-PBE", "state": "relaxed", "cell": [[4.372, -6.549, 0.000], [4.372, 6.549, 0.000], [-2.031, 0.000, 5.571]], "species": ["Er", "Er", "Er", "Er", "Er", "Er", "Er", "Er", "Co", "Co", "Pb", "Pb"], "frac_coords": [[0.053, 0.730, 0.944], [0.205, 0.355, 0.633], [0.270, 0.947, 0.556], [0.355, 0.205, 0.133], [0.645, 0.795, 0.867], [0.730, 0.053, 0.444], [0.795, 0.645, 0.367], [0.947, 0.270, 0.056], [0.000, 0.000, 0.250], [0.000, 0.000, 0.750], [0.371, 0.629, 0.250], [0.629, 0.371, 0.750]], "formation_enthalpy_0k_ev_per_fu": -1.80, "spacegroup": "No. 15", "vol_a3_per_atom": 26.6, "n_ef_per_ev_cell": 10.9}